A relaxed TePWO2 crystal. Source: the Alexandria database, functional PBE with a Hubbard U.

Properties
The value obtained for the relative energy among the computed polymorphs is 0.0000 eV/atom. The calculation puts the density of states at the Fermi level at 0.29 states/eV per atom. The calculation puts the size of the total moment at 0.2581 μB per atom.

Unit cell a=3.880 b=3.880 c=5.774 alpha=90.00 beta=90.00 gamma=90.00
Space group P4/mmm (No. 123)
Inequivalent atoms, fractional coordinates:
Te: 0.000 0.000 0.000 x1
P: 0.500 0.500 0.000 x1
W: 0.500 0.500 0.500 x1
O: 0.000 0.500 0.500 x2